# CsSmTe3Pb PBE-GGA optimized geometry
data_CsSmTe3Pb
_chemical_formula_sum 'Cs4 Sm4 Te12 Pb4'
_space_group_name_H-M_alt 'C m c m'
_space_group_IT_number 63
_space_group_name_Hall '-C 2c 2'
_cell_length_a 4.643
_cell_length_b 17.101
_cell_length_c 12.876
_cell_angle_alpha 90.00
_cell_angle_beta 90.00
_cell_angle_gamma 90.00
loop_
_atom_site_label
_atom_site_fract_x
_atom_site_fract_y
_atom_site_fract_z
Cs1 0.000 0.234 0.250
Sm1 0.000 0.500 0.000
Te1 0.000 0.127 0.521
Te2 0.000 0.450 0.750
Pb1 0.000 0.066 0.750
# Offset from the most stable computed form ... 81 meV/atom
# M_tot ... 0.000 μB per atom

***

# CsSmTe3Pb PBE-GGA optimized geometry
data_CsSmTe3Pb
_chemical_formula_sum 'Cs4 Sm4 Te12 Pb4'
_space_group_name_H-M_alt 'P n m a'
_space_group_IT_number 62
_space_group_name_Hall '-P 2ac 2n'
_cell_length_a 17.780
_cell_length_b 4.552
_cell_length_c 12.934
_cell_angle_alpha 90.00
_cell_angle_beta 90.00
_cell_angle_gamma 90.00
loop_
_atom_site_label
_atom_site_fract_x
_atom_site_fract_y
_atom_site_fract_z
Cs1 0.231 0.250 0.073
Sm1 0.006 0.750 0.647
Te1 0.089 0.750 0.238
Te2 0.100 0.250 0.543
Te3 0.133 0.750 0.825
Pb1 0.037 0.250 0.912
# Offset from the most stable computed form ... 0 meV/atom
# M_tot ... 0.000 μB per atom

***

# CsTa3Pb5 PBE-GGA optimized geometry
data_CsTa3Pb5
_chemical_formula_sum 'Cs1 Ta3 Pb5'
_space_group_name_H-M_alt 'P 6/m m m'
_space_group_IT_number 191
_space_group_name_Hall '-P 6 2'
_cell_length_a 5.7828
_cell_length_b 5.7828
_cell_length_c 9.4527
_cell_angle_alpha 90.00
_cell_angle_beta 90.00
_cell_angle_gamma 120.00
loop_
_atom_site_label
_atom_site_fract_x
_atom_site_fract_y
_atom_site_fract_z
Cs1 0.0000 0.0000 0.0000
Ta1 0.0000 0.5000 0.5000
Pb1 0.0000 0.0000 0.5000
Pb2 0.3333 0.6667 0.2269
# Total energy ... -5.934 eV/atom
# M_tot ... 0.000 μB per atom

***

# CsTaPb PBE-GGA optimized geometry
data_CsTaPb
_chemical_formula_sum 'Cs4 Ta4 Pb4'
_space_group_name_H-M_alt 'F -4 3 m'
_space_group_IT_number 216
_space_group_name_Hall 'F -4 2 3'
_cell_length_a 7.347
_cell_length_b 7.347
_cell_length_c 7.347
_cell_angle_alpha 90.00
_cell_angle_beta 90.00
_cell_angle_gamma 90.00
loop_
_atom_site_label
_atom_site_fract_x
_atom_site_fract_y
_atom_site_fract_z
Cs1 0.000 0.000 0.000
Ta1 0.250 0.250 0.250
Pb1 0.000 0.000 0.500
# Offset from the most stable computed form ... 0 meV/atom
# M_tot ... 0.652 μB per atom

***

# CsTbTe3Pb PBE-GGA optimized geometry
data_CsTbTe3Pb
_chemical_formula_sum 'Cs4 Tb4 Te12 Pb4'
_space_group_name_H-M_alt 'C m c m'
_space_group_IT_number 63
_space_group_name_Hall '-C 2c 2'
_cell_length_a 4.544
_cell_length_b 17.271
_cell_length_c 12.868
_cell_angle_alpha 90.00
_cell_angle_beta 90.00
_cell_angle_gamma 90.00
loop_
_atom_site_label
_atom_site_fract_x
_atom_site_fract_y
_atom_site_fract_z
Cs1 0.000 0.229 0.250
Tb1 0.000 0.500 0.000
Te1 0.000 0.124 0.515
Te2 0.000 0.458 0.750
Pb1 0.000 0.075 0.750
# Total energy ... -4.040 eV/atom
# M_tot ... 0.000 μB per atom

***

# CsTcPb PBE-GGA optimized geometry
data_CsTcPb
_chemical_formula_sum 'Cs4 Tc4 Pb4'
_space_group_name_H-M_alt 'F -4 3 m'
_space_group_IT_number 216
_space_group_name_Hall 'F -4 2 3'
_cell_length_a 7.808
_cell_length_b 7.808
_cell_length_c 7.808
_cell_angle_alpha 90.00
_cell_angle_beta 90.00
_cell_angle_gamma 90.00
loop_
_atom_site_label
_atom_site_fract_x
_atom_site_fract_y
_atom_site_fract_z
Cs1 0.000 0.000 0.000
Tc1 0.250 0.250 0.250
Pb1 0.250 0.250 0.750
# Total energy ... -2.967 eV/atom
# M_tot ... 1.128 μB per atom

***

- Among the records above, which one has the highest M_tot?
  CsTcPb